# Dy3AlTl | Alexandria | GGA-PBE | optimized geometry
# magnetic moment: 0.000 Bohr magnetons per cell
# energy of formation: -129 kJ/mol of formula units
# energy above the lowest structure with this stoichiometry: 0 meV per atom
# total energy: -42.50 eV for the cell shown
data_Dy3AlTl
_chemical_formula_sum 'Dy6 Al2 Tl2'
_space_group_name_H-M_alt 'P 1'
_space_group_IT_number 1
_space_group_name_Hall 'P 1'
_cell_length_a 11.256
_cell_length_b 11.256
_cell_length_c 4.954
_cell_angle_alpha 90.00
_cell_angle_beta 90.00
_cell_angle_gamma 154.58
loop_
_atom_site_label
_atom_site_fract_x
_atom_site_fract_y
_atom_site_fract_z
Dy1 0.059 0.941 0.750
Dy2 0.250 0.750 0.750
Dy3 0.440 0.560 0.750
Dy4 0.560 0.440 0.250
Dy5 0.750 0.250 0.250
Dy6 0.941 0.059 0.250
Al1 0.155 0.845 0.250
Al2 0.845 0.155 0.750
Tl1 0.346 0.654 0.250
Tl2 0.654 0.346 0.750

# MnMoIr2 | Alexandria | GGA-PBE | optimized geometry
# magnetic moment: 1.523 Bohr magnetons per cell
# energy of formation: 10 kJ/mol of formula units
# energy above the lowest structure with this stoichiometry: 280 meV per atom
# total energy: -37.61 eV for the cell shown
data_MnMoIr2
_chemical_formula_sum 'Mn1 Mo1 Ir2'
_space_group_name_H-M_alt 'P 1'
_space_group_IT_number 1
_space_group_name_Hall 'P 1'
_cell_length_a 8.994
_cell_length_b 8.994
_cell_length_c 8.994
_cell_angle_alpha 17.48
_cell_angle_beta 17.48
_cell_angle_gamma 17.48
loop_
_atom_site_label
_atom_site_fract_x
_atom_site_fract_y
_atom_site_fract_z
Mn1 0.000 0.000 0.000
Mo1 0.248 0.248 0.248
Ir1 0.498 0.498 0.498
Ir2 0.743 0.743 0.743

# NdScGePd | Alexandria | GGA-PBE | optimized geometry
# magnetic moment: 0.001 Bohr magnetons per cell
# energy of formation: -275 kJ/mol of formula units
# total energy: -23.76 eV for the cell shown
data_NdScGePd
_chemical_formula_sum 'Nd1 Sc1 Ge1 Pd1'
_space_group_name_H-M_alt 'P 1'
_space_group_IT_number 1
_space_group_name_Hall 'P 1'
_cell_length_a 4.971
_cell_length_b 4.971
_cell_length_c 4.971
_cell_angle_alpha 60.00
_cell_angle_beta 60.00
_cell_angle_gamma 60.00
loop_
_atom_site_label
_atom_site_fract_x
_atom_site_fract_y
_atom_site_fract_z
Nd1 0.000 0.000 0.000
Sc1 0.500 0.500 0.500
Ge1 0.250 0.250 0.250
Pd1 0.750 0.750 0.750

# NaPmSeO | Alexandria | GGA-PBE | optimized geometry
# magnetic moment: 0.000 Bohr magnetons per cell
# formation energy from raw total energies: -2.07 eV per atom
# total energy: -22.78 eV for the cell shown
data_NaPmSeO
_chemical_formula_sum 'Na1 Pm1 Se1 O1'
_space_group_name_H-M_alt 'P 1'
_space_group_IT_number 1
_space_group_name_Hall 'P 1'
_cell_length_a 6.864
_cell_length_b 6.864
_cell_length_c 6.864
_cell_angle_alpha 32.85
_cell_angle_beta 32.85
_cell_angle_gamma 32.85
loop_
_atom_site_label
_atom_site_fract_x
_atom_site_fract_y
_atom_site_fract_z
Na1 0.000 0.000 0.000
Pm1 0.519 0.519 0.519
Se1 0.754 0.754 0.754
O1 0.231 0.231 0.231

# CoIr2Rh | Alexandria | GGA-PBE | optimized geometry
# magnetic moment: 2.079 Bohr magnetons per cell
# energy of formation: 5 kJ/mol of formula units
# energy above the lowest structure with this stoichiometry: 3 meV per atom
# total energy: -32.13 eV for the cell shown
data_CoIr2Rh
_chemical_formula_sum 'Co1 Ir2 Rh1'
_space_group_name_H-M_alt 'P 1'
_space_group_IT_number 1
_space_group_name_Hall 'P 1'
_cell_length_a 4.636
_cell_length_b 4.636
_cell_length_c 4.652
_cell_angle_alpha 100.07
_cell_angle_beta 100.07
_cell_angle_gamma 33.87
loop_
_atom_site_label
_atom_site_fract_x
_atom_site_fract_y
_atom_site_fract_z
Co1 0.000 0.000 0.000
Ir1 0.253 0.253 0.756
Ir2 0.747 0.747 0.244
Rh1 0.500 0.500 0.500

# ScAs2Ir | Alexandria | GGA-PBE | optimized geometry
# magnetic moment: 0.000 Bohr magnetons per cell
# energy of formation: -175 kJ/mol of formula units
# energy above the lowest structure with this stoichiometry: 204 meV per atom
# total energy: -26.30 eV for the cell shown
data_ScAs2Ir
_chemical_formula_sum 'Sc1 As2 Ir1'
_space_group_name_H-M_alt 'P 1'
_space_group_IT_number 1
_space_group_name_Hall 'P 1'
_cell_length_a 3.000
_cell_length_b 3.000
_cell_length_c 8.459
_cell_angle_alpha 90.00
_cell_angle_beta 90.00
_cell_angle_gamma 90.00
loop_
_atom_site_label
_atom_site_fract_x
_atom_site_fract_y
_atom_site_fract_z
Sc1 0.000 0.000 0.000
As1 0.000 0.000 0.587
As2 0.500 0.500 0.233
Ir1 0.500 0.500 0.764

# BaY2Be | Alexandria | GGA-PBE | optimized geometry
# magnetic moment: 0.000 Bohr magnetons per cell
# energy of formation: 210 kJ/mol of formula units
# total energy: -16.40 eV for the cell shown
data_BaY2Be
_chemical_formula_sum 'Ba1 Y2 Be1'
_space_group_name_H-M_alt 'P 1'
_space_group_IT_number 1
_space_group_name_Hall 'P 1'
_cell_length_a 3.938
_cell_length_b 5.521
_cell_length_c 5.623
_cell_angle_alpha 90.00
_cell_angle_beta 90.00
_cell_angle_gamma 90.00
loop_
_atom_site_label
_atom_site_fract_x
_atom_site_fract_y
_atom_site_fract_z
Ba1 0.000 0.000 0.000
Y1 0.000 0.500 0.500
Y2 0.500 0.500 0.000
Be1 0.500 0.000 0.500

# YPuMg4 | Alexandria | GGA-PBE | optimized geometry
# magnetic moment: 5.858 Bohr magnetons per cell
# energy of formation: 21 kJ/mol of formula units
# total energy: -26.96 eV for the cell shown
data_YPuMg4
_chemical_formula_sum 'Y1 Pu1 Mg4'
_space_group_name_H-M_alt 'P 1'
_space_group_IT_number 1
_space_group_name_Hall 'P 1'
_cell_length_a 6.031
_cell_length_b 6.031
_cell_length_c 6.031
_cell_angle_alpha 60.00
_cell_angle_beta 60.00
_cell_angle_gamma 60.00
loop_
_atom_site_label
_atom_site_fract_x
_atom_site_fract_y
_atom_site_fract_z
Y1 0.000 0.000 0.000
Pu1 0.250 0.250 0.250
Mg1 0.125 0.625 0.625
Mg2 0.625 0.125 0.625
Mg3 0.625 0.625 0.125
Mg4 0.625 0.625 0.625

# Ac2PuCuS5 | Alexandria | GGA-PBE | optimized geometry
# magnetic moment: 9.921 Bohr magnetons per cell
# formation energy from raw total energies: -1.71 eV per atom
# total energy: -125.39 eV for the cell shown
data_Ac2PuCuS5
_chemical_formula_sum 'Ac4 Pu2 Cu2 S10'
_space_group_name_H-M_alt 'P 1'
_space_group_IT_number 1
_space_group_name_Hall 'P 1'
_cell_length_a 8.683
_cell_length_b 8.683
_cell_length_c 12.376
_cell_angle_alpha 90.00
_cell_angle_beta 90.00
_cell_angle_gamma 152.77
loop_
_atom_site_label
_atom_site_fract_x
_atom_site_fract_y
_atom_site_fract_z
Ac1 0.117 0.883 0.500
Ac2 0.120 0.880 0.147
Ac3 0.880 0.120 0.647
Ac4 0.883 0.117 0.000
Pu1 0.181 0.819 0.829
Pu2 0.819 0.181 0.329
Cu1 0.450 0.550 0.229
Cu2 0.550 0.450 0.729
S1 0.021 0.979 0.814
S2 0.302 0.698 0.483
S3 0.313 0.687 0.175
S4 0.345 0.655 0.824
S5 0.494 0.506 0.559
S6 0.506 0.494 0.059
S7 0.655 0.345 0.324
S8 0.687 0.313 0.675
S9 0.698 0.302 0.983
S10 0.979 0.021 0.314

# Li2MgIn8 | Alexandria | GGA-PBE | optimized geometry
# magnetic moment: 0.000 Bohr magnetons per cell
# energy of formation: -89 kJ/mol of formula units
# energy above the lowest structure with this stoichiometry: 2 meV per atom
# total energy: -28.25 eV for the cell shown
data_Li2MgIn8
_chemical_formula_sum 'Li2 Mg1 In8'
_space_group_name_H-M_alt 'P 1'
_space_group_IT_number 1
_space_group_name_Hall 'P 1'
_cell_length_a 8.281
_cell_length_b 8.281
_cell_length_c 8.281
_cell_angle_alpha 148.09
_cell_angle_beta 114.83
_cell_angle_gamma 74.41
loop_
_atom_site_label
_atom_site_fract_x
_atom_site_fract_y
_atom_site_fract_z
Li1 0.196 0.196 0.000
Li2 0.804 0.804 0.000
Mg1 0.500 0.500 0.000
In1 0.066 0.341 0.725
In2 0.179 0.000 0.179
In3 0.347 0.847 0.500
In4 0.383 0.659 0.725
In5 0.617 0.341 0.275
In6 0.653 0.153 0.500
In7 0.821 0.000 0.821
In8 0.934 0.659 0.275

# K2LaReH | Alexandria | GGA-PBE | optimized geometry
# magnetic moment: 1.251 Bohr magnetons per cell
# total energy: -17.56 eV for the cell shown
data_K2LaReH
_chemical_formula_sum 'K2 La1 Re1 H1'
_space_group_name_H-M_alt 'P 1'
_space_group_IT_number 1
_space_group_name_Hall 'P 1'
_cell_length_a 4.519
_cell_length_b 4.519
_cell_length_c 6.863
_cell_angle_alpha 90.00
_cell_angle_beta 90.00
_cell_angle_gamma 90.00
loop_
_atom_site_label
_atom_site_fract_x
_atom_site_fract_y
_atom_site_fract_z
K1 0.000 0.500 0.000
K2 0.500 0.000 0.000
La1 0.000 0.000 0.500
Re1 0.500 0.500 0.500
H1 0.500 0.500 0.000

# Pr5Te4Br | Alexandria | GGA-PBE | optimized geometry
# magnetic moment: 0.000 Bohr magnetons per cell
# energy above the lowest structure with this stoichiometry: 0 meV per atom
# formation energy from raw total energies: -1.36 eV per atom
# total energy: -51.72 eV for the cell shown
data_Pr5Te4Br
_chemical_formula_sum 'Pr5 Te4 Br1'
_space_group_name_H-M_alt 'P 1'
_space_group_IT_number 1
_space_group_name_Hall 'P 1'
_cell_length_a 18.059
_cell_length_b 18.059
_cell_length_c 18.059
_cell_angle_alpha 14.47
_cell_angle_beta 14.47
_cell_angle_gamma 14.47
loop_
_atom_site_label
_atom_site_fract_x
_atom_site_fract_y
_atom_site_fract_z
Pr1 0.000 0.000 0.000
Pr2 0.198 0.198 0.198
Pr3 0.402 0.402 0.402
Pr4 0.598 0.598 0.598
Pr5 0.802 0.802 0.802
Te1 0.103 0.103 0.103
Te2 0.299 0.299 0.299
Te3 0.701 0.701 0.701
Te4 0.897 0.897 0.897
Br1 0.500 0.500 0.500

# LiTmSnPt | Alexandria | GGA-PBE | optimized geometry
# magnetic moment: 0.000 Bohr magnetons per cell
# energy of formation: -358 kJ/mol of formula units
# total energy: -20.14 eV for the cell shown
data_LiTmSnPt
_chemical_formula_sum 'Li1 Tm1 Sn1 Pt1'
_space_group_name_H-M_alt 'P 1'
_space_group_IT_number 1
_space_group_name_Hall 'P 1'
_cell_length_a 4.720
_cell_length_b 4.720
_cell_length_c 4.720
_cell_angle_alpha 60.00
_cell_angle_beta 60.00
_cell_angle_gamma 60.00
loop_
_atom_site_label
_atom_site_fract_x
_atom_site_fract_y
_atom_site_fract_z
Li1 0.000 0.000 0.000
Tm1 0.750 0.750 0.750
Sn1 0.250 0.250 0.250
Pt1 0.500 0.500 0.500